1.
DFT (PBE) results for BaIn12Bi6 after structural relaxation.

Lattice parameters (Å, degrees): 9.0866 9.0866 9.0866 106.46 106.46 106.46
With the nearest neighbours (Å) after each atom.
Fractional positions:
Ba (0.0000, 0.0000, 0.0000)  6 In 3.75
In (0.1103, 0.5000, 0.8897)  4 Bi 3.15-3.21, 1 In 3.21
In (0.1103, 0.8897, 0.5000)  4 Bi 3.15-3.21, 1 In 3.21
In (0.1523, 0.3858, 0.3858)  4 Bi 3.23-3.48, 4 In 3.40-3.54
In (0.3858, 0.1523, 0.3858)  4 Bi 3.23-3.48, 4 In 3.40-3.54
In (0.3858, 0.3858, 0.1523)  4 Bi 3.23-3.48, 4 In 3.40-3.54
In (0.5000, 0.1103, 0.8897)  4 Bi 3.15-3.21, 1 In 3.21
In (0.5000, 0.8897, 0.1103)  4 Bi 3.15-3.21, 1 In 3.21
In (0.6142, 0.6142, 0.8477)  4 Bi 3.23-3.48, 4 In 3.40-3.54
In (0.6142, 0.8477, 0.6142)  4 Bi 3.23-3.48, 4 In 3.40-3.54
In (0.8477, 0.6142, 0.6142)  4 Bi 3.23-3.48, 4 In 3.40-3.54
In (0.8897, 0.1103, 0.5000)  4 Bi 3.15-3.21, 1 In 3.21
In (0.8897, 0.5000, 0.1103)  4 Bi 3.15-3.21, 1 In 3.21
Bi (0.2721, 0.7167, 0.7167)  8 In 3.15-3.48
Bi (0.2833, 0.2833, 0.7279)  8 In 3.15-3.48
Bi (0.2833, 0.7279, 0.2833)  8 In 3.15-3.48
Bi (0.7167, 0.2721, 0.7167)  8 In 3.15-3.48
Bi (0.7167, 0.7167, 0.2721)  8 In 3.15-3.48
Bi (0.7279, 0.2833, 0.2833)  8 In 3.15-3.48

Results
The value obtained for the spin magnetization is 0.00 μB/f.u. As for the energy of formation: 0.00 eV per atom. The calculated density comes out at 7.3 Mg/m³.


2.
DFT (PBE) results for BaInBi after structural relaxation.

Lattice parameters (Å, degrees): 5.5703 5.5703 5.5703 60.00 60.00 60.00
With the nearest neighbours (Å) after each atom.
Fractional positions:
Ba (0.0000, 0.0000, 0.0000)  4 In 3.41
In (0.2500, 0.2500, 0.2500)  4 Ba 3.41, 4 Bi 3.41
Bi (0.5000, 0.5000, 0.5000)  4 In 3.41

Results
The value obtained for the spin magnetization is 0.00 μB/f.u. As for the energy of formation: -0.41 eV per atom. The calculation puts the energy above the most stable polymorph in this dataset at 179 meV/atom. The calculated density comes out at 6.3 Mg/m³.


3.
DFT (PBE) results for BaIn4Bi after structural relaxation.

Lattice parameters (Å, degrees): 6.4260 6.4260 6.4260 60.00 60.00 60.00
With the nearest neighbours (Å) after each atom.
Fractional positions:
Ba (0.0000, 0.0000, 0.0000)  12 In 3.77, 4 Bi 3.94
In (0.3757, 0.3757, 0.3757)  6 In 3.20-3.23
In (0.3757, 0.3757, 0.8730)  6 In 3.20-3.23
In (0.3757, 0.8730, 0.3757)  6 In 3.20-3.23
In (0.8730, 0.3757, 0.3757)  6 In 3.20-3.23
Bi (0.7500, 0.7500, 0.7500)  12 In 3.77, 4 Ba 3.94

Results
The value obtained for the spin magnetization is 0.00 μB/f.u. As for the energy of formation: -0.18 eV per atom. The calculated density comes out at 7.1 Mg/m³.


4.
DFT (PBE) results for BaIn2Bi2 after structural relaxation.

Lattice parameters (Å, degrees): 8.2519 8.2519 8.2519 144.79 144.79 50.64
With the nearest neighbours (Å) after each atom.
Fractional positions:
Ba (0.0000, 0.0000, 0.0000)  8 Bi 3.87
In (0.2500, 0.7500, 0.5000)  4 Bi 3.29, 4 In 3.53
In (0.7500, 0.2500, 0.5000)  4 Bi 3.29, 4 In 3.53
Bi (0.3933, 0.3933, 0.0000)  1 Bi 3.18, 4 In 3.29
Bi (0.6067, 0.6067, 0.0000)  1 Bi 3.18, 4 In 3.29

Results
The value obtained for the spin magnetization is 0.00 μB/f.u. As for the energy of formation: -0.34 eV per atom. The calculated density comes out at 7.0 Mg/m³.


5.
DFT (PBE) results for Ba2InBi after structural relaxation.

Lattice parameters (Å, degrees): 5.7182 5.7182 4.8223 90.00 90.00 90.00
With the nearest neighbours (Å) after each atom.
Fractional positions:
Ba (0.0000, 0.5000, 0.0000)  4 In 3.74, 4 Bi 3.74, 4 Ba 4.04
Ba (0.5000, 0.0000, 0.0000)  4 In 3.74, 4 Bi 3.74, 4 Ba 4.04
In (0.0000, 0.0000, 0.5000)  8 Ba 3.74, 4 Bi 4.04
Bi (0.5000, 0.5000, 0.5000)  8 Ba 3.74, 4 In 4.04

Results
The value obtained for the spin magnetization is 0.00 μB/f.u. As for the energy of formation: -0.62 eV per atom. The calculation puts the energy above the most stable polymorph in this dataset at 0 meV/atom. The calculated density comes out at 6.3 Mg/m³.


6.
DFT (PBE) results for BaInBi after structural relaxation.

Lattice parameters (Å, degrees): 6.0355 6.0355 6.0355 132.23 132.23 69.86
With the nearest neighbours (Å) after each atom.
Fractional positions:
Ba (0.0000, 0.0000, 0.0000)  1 In 3.34, 1 Bi 3.48
In (0.6626, 0.6626, 0.0000)  1 Bi 3.08, 1 Ba 3.34
Bi (0.3513, 0.3513, 0.0000)  1 In 3.08

Results
The value obtained for the spin magnetization is 0.00 μB/f.u. As for the energy of formation: -0.40 eV per atom. The calculation puts the energy above the most stable polymorph in this dataset at 184 meV/atom. The calculated density comes out at 6.5 Mg/m³.


7.
DFT (PBE) results for BaIn3Bi2 after structural relaxation.

Lattice parameters (Å, degrees): 9.6643 9.6643 10.2086 117.81 117.81 29.04
With the nearest neighbours (Å) after each atom.
Fractional positions:
Ba (0.1228, 0.1228, 0.2305)  4 In 3.72-3.80, 7 Bi 3.73-3.82
Ba (0.8772, 0.8772, 0.7695)  4 In 3.72-3.80, 7 Bi 3.73-3.82
In (0.0536, 0.0536, 0.6954)  3 Bi 3.07-3.25, 2 In 3.28
In (0.2846, 0.2846, 0.1158)  3 Bi 3.14-3.32, 2 In 3.19
In (0.4225, 0.4225, 0.5314)  5 In 3.26-3.53, 3 Bi 3.29-3.43
In (0.5775, 0.5775, 0.4686)  5 In 3.26-3.53, 3 Bi 3.29-3.43
In (0.7154, 0.7154, 0.8842)  3 Bi 3.14-3.32, 2 In 3.19
In (0.9464, 0.9464, 0.3046)  3 Bi 3.07-3.25, 2 In 3.28
Bi (0.2055, 0.2055, 0.6536)  5 In 3.07-3.32
Bi (0.4456, 0.4456, 0.0917)  4 In 3.14-3.43, 1 Bi 3.37
Bi (0.5544, 0.5544, 0.9083)  4 In 3.14-3.43, 1 Bi 3.37
Bi (0.7945, 0.7945, 0.3464)  5 In 3.07-3.32

Results
The value obtained for the spin magnetization is 0.00 μB/f.u. As for the energy of formation: -0.27 eV per atom. The calculation puts the energy above the most stable polymorph in this dataset at 20 meV/atom. The calculated density comes out at 7.4 Mg/m³.


8.
DFT (PBE) results for Ba2In3Bi2 after structural relaxation.

Lattice parameters (Å, degrees): 6.6817 6.6817 7.7132 105.13 105.13 48.25
With the nearest neighbours (Å) after each atom.
Fractional positions:
Ba (0.1398, 0.1398, 0.2676)  5 Bi 3.63-4.02, 7 In 3.80-3.93
Ba (0.8602, 0.8602, 0.7324)  5 Bi 3.63-4.02, 7 In 3.80-3.93
In (0.4033, 0.4033, 0.0880)  2 In 3.04-3.06, 3 Bi 3.17-3.30
In (0.5000, 0.5000, 0.5000)  2 In 3.06
In (0.5967, 0.5967, 0.9120)  2 In 3.04-3.06, 3 Bi 3.17-3.30
Bi (0.1616, 0.1616, 0.7568)  3 In 3.17-3.30
Bi (0.8384, 0.8384, 0.2432)  3 In 3.17-3.30

Results
The value obtained for the spin magnetization is 0.00 μB/f.u. As for the energy of formation: -0.48 eV per atom. The calculated density comes out at 7.0 Mg/m³.